Record 1
Compound: AcBiTeO6
Source: the Alexandria database
Functional: PBE
Structure: optimized geometry

## Properties
The calculation puts the total moment at 0.000 μB/atom. The raw formation energy is -1.698 eV/atom. The density of states at the Fermi level is 0.000 states/eV/atom.

Cell lengths 5.9884, 5.9884, 9.0114 Å; angles 90.00, 90.00, 120.00 degrees
With the nearest neighbours (Å) after each atom.
Space group P-31c (No. 163)
Inequivalent atoms, fractional coordinates:
Ac: 0.3333 0.6667 0.2500 x2  6 O 2.52
Bi: 0.0000 0.0000 0.0000 x2  6 O 2.43
Te: 0.3333 0.6667 0.7500 x2  6 O 1.97
O: 0.0685 0.3862 0.6276 x12  1 Te 1.97

---

Record 2
Compound: ScRe2SnP
Source: the Alexandria database
Functional: PBE
Structure: optimized geometry

## Properties
The calculation puts the total moment at 0.530 μB/atom. Its formation energy is 1.932 eV/atom. The density of states at the Fermi level is 0.956 states/eV/atom.

Cell lengths 4.9472, 4.9472, 4.8812 Å; angles 90.00, 90.00, 90.00 degrees
With the nearest neighbours (Å) after each atom.
Space group P4/mmm (No. 123)
Inequivalent atoms, fractional coordinates:
Sc: 0.0000 0.0000 0.0000 x1  8 Re 3.47, 4 P 3.50
Re: 0.0000 0.5000 0.5000 x2  2 Sn 2.47
Sn: 0.5000 0.5000 0.5000 x1  2 P 2.44, 4 Re 2.47
P: 0.5000 0.5000 0.0000 x1  2 Sn 2.44

---

Record 3
Compound: Pr2Hg3Pb
Source: the Alexandria database
Functional: PBE
Structure: optimized geometry

## Properties
The calculation puts the total moment at 0.000 μB/atom. Its formation energy is -0.418 eV/atom. The density of states at the Fermi level is 0.755 states/eV/atom.

Cell lengths 7.4240, 10.1683, 17.5447 Å; angles 90.00, 90.00, 90.00 degrees
With the nearest neighbours (Å) after each atom.
Space group Fmmm (No. 69)
Inequivalent atoms, fractional coordinates:
Pr: 0.2447 0.0000 0.0000 x8  10 Hg 3.41-3.51, 2 Pb 3.46, 2 Pr 3.63-3.79
Pr: 0.2500 0.2500 0.2500 x8  4 Pb 3.48, 8 Hg 3.49, 2 Pr 3.71
Hg: 0.0000 0.0000 0.1643 x8  2 Hg 2.89, 1 Pb 2.99
Hg: 0.0000 0.2465 0.0818 x16  2 Hg 2.87-2.89, 1 Pb 2.96
Pb: 0.0000 0.0000 0.3348 x8  3 Hg 2.96-2.99

---

Record 4
Compound: CeH7Pd2Rh2
Source: the Alexandria database
Functional: PBE
Structure: optimized geometry

## Properties
The calculation puts the total moment at 0.055 μB/atom. The calculation puts the calculated total energy at -113.96 eV for the cell shown. The density of states at the Fermi level is 0.573 states/eV/atom.

Cell lengths 7.6829, 4.7990, 6.7176 Å; angles 90.00, 108.70, 90.00 degrees
With the nearest neighbours (Å) after each atom.
Space group C2 (No. 5)
Inequivalent atoms, fractional coordinates:
Ce: 0.0000 0.0000 0.0000 x2  10 H 2.50-2.75
H: 0.0000 0.7647 0.5000 x2  2 Pd 1.85, 2 Rh 1.86
H: 0.1121 0.4953 0.9713 x4  1 Rh 1.63
H: 0.2115 0.2319 0.7808 x4  1 Rh 1.66, 1 Pd 1.79
H: 0.2284 0.7720 0.7794 x4  1 Rh 1.66, 1 Pd 1.83
Pd: 0.1937 0.0127 0.5593 x4  3 H 1.79-1.85
Rh: 0.0778 0.5115 0.7196 x4  3 H 1.63-1.66

---

Record 5
Compound: Sm6Mg2Cd
Source: the Alexandria database
Functional: PBE
Structure: optimized geometry

## Properties
The calculation puts the total moment at 0.000 μB/atom. Its formation energy is -0.058 eV/atom. The density of states at the Fermi level is 1.462 states/eV/atom.

Cell lengths 10.2722, 10.2722, 5.2015 Å; angles 90.00, 90.00, 90.00 degrees
With the nearest neighbours (Å) after each atom.
Space group P4_2/mnm (No. 136)
Inequivalent atoms, fractional coordinates:
Sm: 0.0159 0.3267 0.0000 x8  3 Mg 3.33-3.46, 1 Cd 3.36, 8 Sm 3.58-3.65
Sm: 0.1311 0.8689 0.5000 x4  2 Cd 3.22, 2 Mg 3.38
Mg: 0.1926 0.1926 0.5000 x4  10 Sm 3.33-3.65
Cd: 0.0000 0.0000 0.0000 x2  8 Sm 3.22-3.36

---

Record 6
Compound: Mg2InGa4
Source: the Alexandria database
Functional: PBE
Structure: optimized geometry

## Properties
The calculation puts the total moment at 0.000 μB/atom. Its formation energy is -0.052 eV/atom. The density of states at the Fermi level is 0.313 states/eV/atom.

Cell lengths 5.6360, 6.2411, 8.7393 Å; angles 93.62, 102.84, 102.73 degrees
With the nearest neighbours (Å) after each atom.
Space group P1 (No. 1)
Inequivalent atoms, fractional coordinates:
Mg: 0.0000 0.0000 0.0000 x1  7 Ga 2.88-3.19
Mg: 0.1127 0.5099 0.9300 x1  7 Ga 2.78-3.02
Mg: 0.3559 0.5683 0.5234 x1  6 Ga 2.82-3.08, 2 In 3.03-3.04
Mg: 0.5693 0.8677 0.2428 x1  7 Ga 2.97-3.23
In: 0.6662 0.1010 0.6367 x1  5 Ga 2.91-3.11, 1 In 3.10
In: 0.9242 0.7136 0.6176 x1  4 Ga 2.90-3.23, 3 Mg 3.03-3.15, 1 In 3.10
Ga: 0.0302 0.6832 0.2364 x1  4 Ga 2.64-2.85, 1 Mg 2.95
Ga: 0.1561 0.0788 0.4009 x1  4 Ga 2.64-2.81
Ga: 0.2209 0.1998 0.7197 x1  3 Ga 2.70-2.83, 2 Mg 2.84-3.02, 2 In 2.94-2.96
Ga: 0.3184 0.3729 0.2163 x1  4 Ga 2.66-2.85, 3 Mg 2.78-2.88
Ga: 0.4273 0.9149 0.8939 x1  3 Ga 2.60-2.70, 2 Mg 2.83-2.90
Ga: 0.6147 0.5776 0.8486 x1  3 Ga 2.60-2.83, 2 Mg 2.87-2.88
Ga: 0.6741 0.3014 0.0611 x1  5 Ga 2.63-2.85
Ga: 0.8018 0.3354 0.3790 x1  4 Ga 2.69-2.85, 2 In 2.90-2.91, 1 Mg 2.97

---

Record 7
Compound: Tm2ScS
Source: the Alexandria database
Functional: PBE
Structure: optimized geometry

## Properties
The calculation puts the total moment at 0.144 μB/atom. The raw formation energy is -0.633 eV/atom. The density of states at the Fermi level is 1.001 states/eV/atom.

Cell lengths 3.5334, 3.5334, 28.9602 Å; angles 90.00, 90.00, 120.00 degrees
With the nearest neighbours (Å) after each atom.
Space group R-3m (No. 166, hexagonal axes)
Inequivalent atoms, fractional coordinates:
Tm: 0.0000 0.0000 0.1089 x6  3 S 2.64
Sc: 0.0000 0.0000 0.0000 x3  2 Tm 3.16, 6 Sc 3.53
S: 0.0000 0.0000 0.5000 x3  6 Tm 2.64

---

Record 8
Compound: LiNi2Sb2
Source: the Alexandria database
Functional: PBE
Structure: optimized geometry

## Properties
The calculation puts the total moment at 0.000 μB/atom. The raw formation energy is -0.049 eV/atom. The density of states at the Fermi level is 0.795 states/eV/atom.

Cell lengths 4.7645, 4.7645, 8.5697 Å; angles 90.00, 90.00, 90.00 degrees
With the nearest neighbours (Å) after each atom.
Space group I4/mmm (No. 139)
Inequivalent atoms, fractional coordinates:
Li: 0.0000 0.0000 0.0000 x2  2 Ni 3.11, 8 Sb 3.20
Ni: 0.0000 0.0000 0.3632 x4  1 Ni 2.35, 4 Sb 2.57
Sb: 0.0000 0.5000 0.2500 x4  4 Ni 2.57

---

Record 9
Compound: AcSb2Pd4
Source: the Alexandria database
Functional: PBE
Structure: optimized geometry

## Properties
The calculation puts the total moment at 0.000 μB/atom. The raw formation energy is -0.686 eV/atom. The density of states at the Fermi level is 0.491 states/eV/atom.

Cell lengths 18.4055, 4.6585, 7.1382 Å; angles 90.00, 90.00, 90.00 degrees
With the nearest neighbours (Å) after each atom.
Space group Pnma (No. 62)
Inequivalent atoms, fractional coordinates:
Ac: 0.1410 0.2500 0.0307 x4  9 Pd 3.10-3.36
Sb: 0.0440 0.7500 0.7433 x4  7 Pd 2.66-2.82
Sb: 0.2037 0.2500 0.5018 x4  7 Pd 2.67-2.80
Pd: 0.0170 0.7500 0.1206 x4  3 Sb 2.74-2.76, 3 Pd 2.88-2.96
Pd: 0.0567 0.2500 0.5236 x4  4 Sb 2.66-2.82, 1 Pd 2.88
Pd: 0.1922 0.7500 0.7174 x4  4 Sb 2.73-2.80, 3 Pd 2.96-2.99
Pd: 0.2120 0.7500 0.3054 x4  3 Sb 2.67-2.72, 1 Pd 2.96

---

Record 10
Compound: CaCuRu3
Source: the Alexandria database
Functional: PBE
Structure: optimized geometry

## Properties
The calculation puts the total moment at 0.421 μB/atom. Its formation energy is 1.178 eV/atom. The density of states at the Fermi level is 1.809 states/eV/atom.

Cell lengths 4.5714, 4.5714, 4.5714 Å; angles 90.00, 90.00, 90.00 degrees
With the nearest neighbours (Å) after each atom.
Space group Pm-3m (No. 221)
Inequivalent atoms, fractional coordinates:
Ca: 0.0000 0.0000 0.0000 x1  12 Ru 3.23
Cu: 0.5000 0.5000 0.5000 x1  6 Ru 2.29
Ru: 0.0000 0.5000 0.5000 x3  2 Cu 2.29

---

Record 11
Compound: TlMoC2
Source: the Alexandria database
Functional: PBE
Structure: optimized geometry

## Properties
The calculation puts the total moment at 0.000 μB/atom. Its formation energy is 1.038 eV/atom. The density of states at the Fermi level is 0.578 states/eV/atom.

Cell lengths 5.2694, 5.2694, 9.5449 Å; angles 90.00, 90.00, 90.00 degrees
With the nearest neighbours (Å) after each atom.
Space group I-42d (No. 122)
Inequivalent atoms, fractional coordinates:
Tl: 0.0000 0.0000 0.0000 x4  4 C 2.49
Mo: 0.0000 0.0000 0.5000 x4  4 C 1.99
C: 0.1687 0.2500 0.6250 x8  2 Mo 1.99

---

Record 12
Compound: La2ZnOs
Source: the Alexandria database
Functional: PBE
Structure: optimized geometry

## Properties
The calculation puts the total moment at 0.000 μB/atom. Its formation energy is 0.174 eV/atom. The density of states at the Fermi level is 0.937 states/eV/atom.

Cell lengths 8.1307, 8.1307, 6.3217 Å; angles 90.00, 90.00, 90.00 degrees
With the nearest neighbours (Å) after each atom.
Space group I-42d (No. 122)
Inequivalent atoms, fractional coordinates:
La: 0.2043 0.2500 0.1250 x8  2 Os 2.74
Zn: 0.0000 0.0000 0.5000 x4  2 Os 3.16, 8 La 3.25-3.54
Os: 0.0000 0.0000 0.0000 x4  4 La 2.74

---

Question: Which formula does entry 4 have?
Answer: CeH7Pd2Rh2